Here is crystalline NdInAg3S4 at its relaxed geometry from OQMD. Energies are from GGA-PBE.

Properties
The calculation puts the electronic total energy at -36.92 eV/cell. For the total magnetization, the calculation gives 0.63 μB/cell.

a = 6.237 Å, b = 6.237 Å, c = 6.237 Å
α = 90.00°, β = 90.00°, γ = 90.00°
Space group P-43m (No. 215)
One atom of each set of equivalent atoms:
1 Nd 0.000 0.000 0.000 x1
2 In 0.500 0.500 0.500 x1
3 Ag 0.000 0.000 0.500 x3
4 S 0.249 0.249 0.751 x4